Record 1
Compound: KTlCuI4
Source: the Alexandria database
Functional: PBE
Structure: relaxed

Geometry as CIF:
```
data_KTlCuI4
_chemical_formula_sum 'K2 Tl2 Cu2 I8'
_cell_length_a 8.4864
_cell_length_b 6.9568
_cell_length_c 9.8580
_cell_angle_alpha 90.00
_cell_angle_beta 106.80
_cell_angle_gamma 90.00
_symmetry_space_group_name_H-M 'P 1 21/m 1'
_symmetry_Int_Tables_number 11
loop_
_symmetry_equiv_pos_as_xyz
'x,y,z'
'-x,-y,-z'
'-x,y+1/2,-z'
'x,-y+1/2,z'
loop_
_atom_site_label
_atom_site_fract_x
_atom_site_fract_y
_atom_site_fract_z
_atom_site_occupancy
K1 0.2391 0.2500 0.4379 1
Tl1 0.1893 0.2500 0.9181 1
Cu1 0.2667 0.7500 0.6943 1
I1 0.0887 0.7500 0.8756 1
I2 0.1086 0.7500 0.4245 1
I3 0.4980 0.0060 0.7626 1
```

Properties
E_form (uncorrected) = -0.64 eV/atom
theoretical density = 4.856 g cm⁻³



Record 2
Compound: TaPdSCl2
Source: the Alexandria database
Functional: PBE
Structure: relaxed

Geometry as CIF:
```
data_TaPdSCl2
_chemical_formula_sum 'Ta1 Pd1 S1 Cl2'
_cell_length_a 4.6770
_cell_length_b 4.6770
_cell_length_c 4.8832
_cell_angle_alpha 90.00
_cell_angle_beta 90.00
_cell_angle_gamma 90.00
_symmetry_space_group_name_H-M 'P 4/m m m'
_symmetry_Int_Tables_number 123
_symmetry_space_group_name_Hall '-P 4 2'
loop_
_atom_site_label
_atom_site_fract_x
_atom_site_fract_y
_atom_site_fract_z
_atom_site_occupancy
Ta1 0.0000 0.0000 0.0000 1
Pd1 0.5000 0.5000 0.5000 1
S1 0.5000 0.5000 0.0000 1
Cl1 0.0000 0.5000 0.5000 1
```

Properties
distance to the lowest polymorph of the same formula = 846 meV per atom
E_form (uncorrected) = 0.71 eV/atom
theoretical density = 6.068 g cm⁻³



Record 3
Compound: TiInTe2W
Source: the Alexandria database
Functional: PBE
Structure: relaxed

Geometry as CIF:
```
data_TiInTe2W
_chemical_formula_sum 'Ti1 In1 Te2 W1'
_cell_length_a 5.3659
_cell_length_b 5.3659
_cell_length_c 4.8892
_cell_angle_alpha 90.00
_cell_angle_beta 90.00
_cell_angle_gamma 90.00
_symmetry_space_group_name_H-M 'P 4/m m m'
_symmetry_Int_Tables_number 123
_symmetry_space_group_name_Hall '-P 4 2'
loop_
_atom_site_label
_atom_site_fract_x
_atom_site_fract_y
_atom_site_fract_z
_atom_site_occupancy
Ti1 0.0000 0.0000 0.0000 1
In1 0.5000 0.5000 0.5000 1
Te1 0.0000 0.5000 0.0000 1
W1 0.0000 0.0000 0.5000 1
```

Properties
E_form (uncorrected) = 0.82 eV/atom
theoretical density = 7.098 g cm⁻³



Record 4
Compound: NdTm3Ru2
Source: the Alexandria database
Functional: PBE
Structure: relaxed

Geometry as CIF:
```
data_NdTm3Ru2
_chemical_formula_sum 'Nd1 Tm3 Ru2'
_cell_length_a 3.3937
_cell_length_b 3.3937
_cell_length_c 12.2866
_cell_angle_alpha 90.00
_cell_angle_beta 90.00
_cell_angle_gamma 90.00
_symmetry_space_group_name_H-M 'P 4/m m m'
_symmetry_Int_Tables_number 123
_symmetry_space_group_name_Hall '-P 4 2'
loop_
_atom_site_label
_atom_site_fract_x
_atom_site_fract_y
_atom_site_fract_z
_atom_site_occupancy
Nd1 0.0000 0.0000 0.0000 1
Tm1 0.5000 0.5000 0.2328 1
Tm2 0.5000 0.5000 0.5000 1
Ru1 0.0000 0.0000 0.3585 1
```

Properties
distance to the lowest polymorph of the same formula = 0 meV per atom
ΔE_f = -0.35 eV per atom
theoretical density = 10.012 g cm⁻³



Record 5
Compound: HoZrAgPt
Source: the Alexandria database
Functional: PBE
Structure: relaxed

Geometry as CIF:
```
data_HoZrAgPt
_chemical_formula_sum 'Ho4 Zr4 Ag4 Pt4'
_cell_length_a 6.9241
_cell_length_b 6.9241
_cell_length_c 6.9241
_cell_angle_alpha 90.00
_cell_angle_beta 90.00
_cell_angle_gamma 90.00
_symmetry_space_group_name_H-M 'F -4 3 m'
_symmetry_Int_Tables_number 216
_symmetry_space_group_name_Hall 'F -4 2 3'
loop_
_atom_site_label
_atom_site_fract_x
_atom_site_fract_y
_atom_site_fract_z
_atom_site_occupancy
Ho1 0.0000 0.0000 0.0000 1
Zr1 0.0000 0.0000 0.5000 1
Ag1 0.2500 0.2500 0.2500 1
Pt1 0.2500 0.2500 0.7500 1
```

Properties
ΔE_f = -0.58 eV per atom
theoretical density = 11.187 g cm⁻³



Record 6
Compound: TbSiHRh
Source: the Alexandria database
Functional: PBE
Structure: relaxed

Geometry as CIF:
```
data_TbSiHRh
_chemical_formula_sum 'Tb2 Si2 H2 Rh2'
_cell_length_a 4.0198
_cell_length_b 4.0198
_cell_length_c 7.2972
_cell_angle_alpha 90.00
_cell_angle_beta 90.00
_cell_angle_gamma 90.00
_symmetry_space_group_name_H-M 'P 4/n m m'
_symmetry_Int_Tables_number 129
loop_
_symmetry_equiv_pos_as_xyz
'x,y,z'
'-x,-y,-z'
'-y+1/2,x,z'
'y+1/2,-x,-z'
'-x+1/2,-y+1/2,z'
'x+1/2,y+1/2,-z'
'y,-x+1/2,z'
'-y,x+1/2,-z'
'x+1/2,-y,-z'
'-x+1/2,y,z'
'-y,-x,-z'
'y,x,z'
'-x,y+1/2,-z'
'x,-y+1/2,z'
'y+1/2,x+1/2,-z'
'-y+1/2,-x+1/2,z'
loop_
_atom_site_label
_atom_site_fract_x
_atom_site_fract_y
_atom_site_fract_z
_atom_site_occupancy
Tb1 0.2500 0.2500 0.1548 1
Si1 0.2500 0.2500 0.6794 1
H1 0.2500 0.7500 0.0000 1
Rh1 0.2500 0.7500 0.5000 1
```

Properties
DFT total energy = -6.130 eV/atom
theoretical density = 8.194 g cm⁻³